{"formula": "RbNa2Y2", "functional": "PBE", "state": "optimized geometry", "e_tot_ev_per_atom": -2.86, "rho_g_cm3": 2.4, "sg": "P4/mbm, No. 127", "lattice": [[10.940, 0.000, 0.000], [0.000, 10.940, 0.000], [0.000, 0.000, 3.504]], "species": ["Rb", "Rb", "Na", "Na", "Na", "Na", "Y", "Y", "Y", "Y"], "frac_coords": [[0.000, 0.000, 0.000], [0.500, 0.500, 0.000], [0.182, 0.318, 0.000], [0.318, 0.818, 0.000], [0.682, 0.182, 0.000], [0.818, 0.682, 0.000], [0.107, 0.607, 0.500], [0.393, 0.107, 0.500], [0.607, 0.893, 0.500], [0.893, 0.393, 0.500]]}

{"formula": "RbNaY3", "functional": "PBE", "state": "optimized geometry", "rho_g_cm3": 3.0, "de_polymorph_kj_per_mol_fu": 0, "sg": "Pm-3m, No. 221", "lattice": [[5.924, 0.000, 0.000], [0.000, 5.924, 0.000], [0.000, 0.000, 5.924]], "species": ["Rb", "Na", "Y", "Y", "Y"], "frac_coords": [[0.000, 0.000, 0.000], [0.500, 0.500, 0.500], [0.000, 0.500, 0.500], [0.500, 0.000, 0.500], [0.500, 0.500, 0.000]]}